# 1
Density functional theory data (PBE-GGA) for an optimized crystal structure of CeTlSb2.

Unit cell a=4.619 b=4.619 c=22.134 alpha=90.00 beta=90.00 gamma=120.00
Sites, in units of the cell vectors:
1 Ce 0.000 0.000 0.000
2 Ce 0.333 0.667 0.667
3 Ce 0.667 0.333 0.333
4 Tl 0.000 0.000 0.500
5 Tl 0.333 0.667 0.167
6 Tl 0.667 0.333 0.833
7 Sb 0.000 0.000 0.261
8 Sb 0.000 0.000 0.739
9 Sb 0.333 0.667 0.406
10 Sb 0.333 0.667 0.927
11 Sb 0.667 0.333 0.073
12 Sb 0.667 0.333 0.594

# 2
Density functional theory data (PBE-GGA) for an optimized crystal structure of Ce4TlSb3.

Unit cell a=14.378 b=5.665 c=6.212 alpha=90.00 beta=105.16 gamma=90.00
Sites, in units of the cell vectors:
1 Ce 0.104 0.000 0.041
2 Ce 0.235 0.500 0.302
3 Ce 0.265 0.000 0.698
4 Ce 0.396 0.500 0.959
5 Ce 0.604 0.500 0.041
6 Ce 0.735 0.000 0.302
7 Ce 0.765 0.500 0.698
8 Ce 0.896 0.000 0.959
9 Tl 0.000 0.000 0.500
10 Tl 0.500 0.500 0.500
11 Sb 0.000 0.500 0.000
12 Sb 0.165 0.500 0.752
13 Sb 0.335 0.000 0.248
14 Sb 0.500 0.000 0.000
15 Sb 0.665 0.000 0.752
16 Sb 0.835 0.500 0.248

# 3
Density functional theory data (PBE-GGA) for an optimized crystal structure of Ce5Tm3Sb8.

Unit cell a=8.875 b=8.875 c=8.875 alpha=60.04 beta=60.04 gamma=60.04
Sites, in units of the cell vectors:
1 Ce 0.000 0.000 0.000
2 Ce 0.000 0.500 0.500
3 Ce 0.500 0.000 0.500
4 Ce 0.500 0.500 0.000
5 Ce 0.500 0.500 0.500
6 Tm 0.000 0.000 0.500
7 Tm 0.000 0.500 0.000
8 Tm 0.500 0.000 0.000
9 Sb 0.243 0.750 0.750
10 Sb 0.247 0.247 0.247
11 Sb 0.250 0.250 0.757
12 Sb 0.250 0.757 0.250
13 Sb 0.750 0.243 0.750
14 Sb 0.750 0.750 0.243
15 Sb 0.753 0.753 0.753
16 Sb 0.757 0.250 0.250

# 4
Density functional theory data (PBE-GGA) for an optimized crystal structure of CeTm8Sb2.

Unit cell a=9.396 b=9.396 c=8.097 alpha=110.67 beta=110.67 gamma=28.53
Sites, in units of the cell vectors:
1 Ce 0.000 0.000 0.000
2 Tm 0.090 0.090 0.474
3 Tm 0.181 0.181 0.933
4 Tm 0.341 0.341 0.761
5 Tm 0.457 0.457 0.238
6 Tm 0.543 0.543 0.762
7 Tm 0.659 0.659 0.239
8 Tm 0.819 0.819 0.067
9 Tm 0.910 0.910 0.526
10 Sb 0.292 0.292 0.333
11 Sb 0.708 0.708 0.667

Raw formation energy in eV per atom, matching the order above: -0.328, -0.461, -1.047, -0.315
Electronic total energy in eV/atom, matching the order above: -4.465, -5.270, -5.801, -4.856
Spin magnetization in μB/cell, matching the order above: 0.01, 11.78, 4.03, 1.64